The following is a GGA+U calculation of a relaxed WSeIO2 crystal, from Alexandria.

a b c (Å): 4.0124 4.0124 7.0563
angles (deg): 90.00 90.00 90.00
Positions (direct):
W 0.0000 0.0000 0.0000
Se 0.5000 0.5000 0.5000
I 0.5000 0.5000 0.0000
O 0.0000 0.5000 0.5000
O 0.5000 0.0000 0.5000

Energy above the most stable polymorph in this dataset, eV per atom: 1.227
Crystal system: tetragonal